Entry 1:
LaSmTlPd | PBE-GGA | relaxed

abc: 5.3648 5.3648 5.3648
angles: 60.00 60.00 60.00
With the nearest neighbours (Å) after each atom.
Fractional coordinates of all 4 atoms:
1 Sm 0.2500 0.2500 0.2500  4 Pd 3.29, 4 Tl 3.29
2 Tl 0.0000 0.0000 0.0000  4 La 3.29, 4 Sm 3.29
3 Pd 0.5000 0.5000 0.5000  4 La 3.29, 4 Sm 3.29
4 La 0.7500 0.7500 0.7500  4 Tl 3.29, 4 Pd 3.29

Total moment in μB/cell: 0.0
Density of states at the Fermi level in states/eV per cell: 4.11
E_form in eV per atom: -0.49


Entry 2:
LaSnPd6 | PBE-GGA | relaxed

abc: 5.5334 5.5334 7.5817
angles: 68.60 68.60 60.00
With the nearest neighbours (Å) after each atom.
Fractional coordinates of all 8 atoms:
1 Pd 0.0705 0.0705 0.3004  1 Sn 2.63, 5 Pd 2.70-2.83
2 Pd 0.0705 0.5587 0.3004  1 Sn 2.63, 5 Pd 2.70-2.83
3 Pd 0.9295 0.9295 0.6996  1 Sn 2.63, 5 Pd 2.70-2.83
4 Pd 0.5587 0.0705 0.3004  1 Sn 2.63, 5 Pd 2.70-2.83
5 Pd 0.4413 0.9295 0.6996  1 Sn 2.63, 5 Pd 2.70-2.83
6 Pd 0.9295 0.4413 0.6996  1 Sn 2.63, 5 Pd 2.70-2.83
7 Sn 0.0000 0.0000 0.0000  6 Pd 2.63
8 La 0.5000 0.5000 0.5000  12 Pd 3.09

Total moment in μB/cell: 0.0
Density of states at the Fermi level in states/eV per cell: 3.36
E_form in eV per atom: -0.30
E above lowest polymorph in eV/atom: 0.333


Entry 3:
LaSn4Pd | PBE-GGA | relaxed

abc: 5.2923 6.1846 10.5870
angles: 110.18 104.52 90.19
With the nearest neighbours (Å) after each atom.
Fractional coordinates of all 12 atoms:
1 Sn 0.6450 0.1100 0.7924  1 Pd 2.83, 3 Sn 3.04-3.16
2 Sn 0.9332 0.0286 0.3616  3 Pd 2.75-3.05, 3 Sn 2.98-3.04
3 Sn 0.0668 0.9714 0.6384  3 Pd 2.75-3.05, 3 Sn 2.98-3.04
4 Sn 0.8551 0.3902 0.2077  1 Pd 2.83, 3 Sn 3.04-3.16
5 Sn 0.5668 0.4714 0.6383  3 Pd 2.75-3.05, 3 Sn 2.98-3.04
6 Sn 0.3550 0.8900 0.2076  1 Pd 2.83, 3 Sn 3.04-3.16
7 Sn 0.1449 0.6098 0.7923  1 Pd 2.83, 3 Sn 3.04-3.16
8 Sn 0.4332 0.5286 0.3617  3 Pd 2.75-3.05, 3 Sn 2.98-3.04
9 Pd 0.5000 0.0000 0.5000  8 Sn 2.75-3.05
10 Pd 0.0000 0.5000 0.5000  8 Sn 2.75-3.05
11 La 0.7500 0.7500 0.0000  8 Sn 3.31-3.59
12 La 0.2500 0.2500 0.0000  8 Sn 3.31-3.59

Total moment in μB/cell: 0.0
Density of states at the Fermi level in states/eV per cell: 6.71
E_form in eV per atom: -0.37


Question: Which value of density of states at the Fermi level does entry 2 give?
Answer: 3.36 states/eV per cell